Material: La3Co4P4
Method: DFT, PBE-GGA
State: relaxed

Cell lengths 11.949, 11.949, 11.949 Å; angles 160.85, 160.45, 27.49 degrees
Element x y z (fractional)
La1 0.000 0.000 0.000
La2 0.148 0.648 0.500
La3 0.852 0.352 0.500
Co1 0.249 0.249 0.000
Co2 0.402 0.902 0.500
Co3 0.598 0.098 0.500
Co4 0.751 0.751 0.000
P1 0.302 0.802 0.500
P2 0.446 0.446 0.000
P3 0.554 0.554 0.000
P4 0.698 0.198 0.500

Summary:
**Crystal system**: orthorhombic
**Space group**: No. 71
**Total energy**: -75.7 eV/f.u.
**Magnetic moment**: 0.0 μB/cell